(1)
Here is La3TbDy6Th2 after structural relaxation from Alexandria. Energies are from PBE.

```
La3TbDy6Th2
1.0
-2.620 -0.191 -5.661
-3.498 -0.907 5.088
-0.069 11.823 0.782
La Tb Dy Th
3 1 6 2
direct
0.834 0.166 0.500 La
0.166 0.834 0.500 La
0.500 0.500 0.500 La
0.000 0.000 0.000 Tb
0.418 0.081 0.243 Dy
0.919 0.582 0.757 Dy
0.744 0.744 0.243 Dy
0.081 0.418 0.243 Dy
0.582 0.919 0.757 Dy
0.256 0.256 0.757 Dy
0.667 0.333 0.000 Th
0.333 0.667 0.000 Th
```

SG: No. 12
Formation energy from the elements (eV/atom): 0.020
Theoretical density (g/cm³): 8.5



(2)
Here is NaLi6Sn5 after structural relaxation from Alexandria. Energies are from PBE.

```
NaLi6Sn5
1.0
-0.874 4.864 -0.513
-3.981 1.481 6.148
5.742 1.388 3.384
Sn Li Na
5 6 1
direct
0.622 0.668 0.000 Sn
0.378 0.332 0.000 Sn
0.366 0.331 0.500 Sn
0.000 0.000 0.500 Sn
0.634 0.669 0.500 Sn
0.133 0.656 0.251 Li
0.133 0.656 0.749 Li
0.867 0.344 0.251 Li
0.867 0.344 0.749 Li
0.500 0.000 0.260 Li
0.500 0.000 0.740 Li
0.000 0.000 0.000 Na
```

SG: No. 10
Formation energy from the elements (eV/atom): -0.313
Theoretical density (g/cm³): 4.4